Record 1
LaTcP2Ru: relaxed, PBE. Values from VASP.

Quantum ESPRESSO input file:
```
&SYSTEM
  ibrav = 0, nat = 5, ntyp = 4
/
ATOMIC_SPECIES
La 138.91 La.upf
Tc 98.00 Tc.upf
P 30.97 P.upf
Ru 101.07 Ru.upf
CELL_PARAMETERS angstrom
-2.0700 2.0700 5.1903
2.0700 -2.0700 5.1903
2.0700 2.0700 -5.1903
ATOMIC_POSITIONS angstrom
La 0.0000 0.0000 0.0000
Tc 0.0000 2.0700 2.5951
P 0.0000 0.0000 3.7067
P 0.0000 0.0000 6.6738
Ru 2.0700 0.0000 2.5951
```

Values from the calculation:
Total moment = 0.00 μB per cell
Final energy = -0.29696 hartree per atom
E_form = -1.00 eV per atom
DOS at the Fermi energy = 0.4986 states/eV per atom

Record 2
LaZn2PRu2: relaxed, PBE. Values from VASP.

Quantum ESPRESSO input file:
```
&SYSTEM
  ibrav = 0, nat = 6, ntyp = 4
/
ATOMIC_SPECIES
La 138.91 La.upf
Zn 65.41 Zn.upf
P 30.97 P.upf
Ru 101.07 Ru.upf
CELL_PARAMETERS angstrom
4.3996 0.0000 0.0000
0.0000 4.3996 0.0000
0.0000 0.0000 5.8093
ATOMIC_POSITIONS angstrom
La 0.0000 0.0000 0.0000
Zn 2.1998 2.1998 1.3062
Zn 2.1998 2.1998 4.5031
P 0.0000 0.0000 2.9047
Ru 0.0000 2.1998 2.9047
Ru 2.1998 0.0000 2.9047
```

Values from the calculation:
Total moment = 0.00 μB per cell
Final energy = -0.20884 hartree per atom
E_form = -0.44 eV per atom
DOS at the Fermi energy = 0.4017 states/eV per atom

Record 3
LaP3S: relaxed, PBE. Values from VASP.

Quantum ESPRESSO input file:
```
&SYSTEM
  ibrav = 0, nat = 5, ntyp = 3
/
ATOMIC_SPECIES
La 138.91 La.upf
P 30.97 P.upf
S 32.06 S.upf
CELL_PARAMETERS angstrom
4.6537 0.0000 0.0000
0.0000 4.6537 0.0000
0.0000 0.0000 4.6537
ATOMIC_POSITIONS angstrom
La 0.0000 0.0000 0.0000
P 0.0000 2.3269 2.3269
P 2.3269 0.0000 2.3269
P 2.3269 2.3269 0.0000
S 2.3269 2.3269 2.3269
```

Values from the calculation:
Total moment = 0.00 μB per cell
Formation energy without anion corrections = -9.4 kJ/mol of atoms
Energy above the most stable polymorph in this dataset = 0.00 eV per formula unit
Final energy = -0.18941 hartree per atom
DOS at the Fermi energy = 0.7602 states/eV per atom

Record 4
La3PS: relaxed, PBE. Values from VASP.

Quantum ESPRESSO input file:
```
&SYSTEM
  ibrav = 0, nat = 5, ntyp = 3
/
ATOMIC_SPECIES
La 138.91 La.upf
P 30.97 P.upf
S 32.06 S.upf
CELL_PARAMETERS angstrom
6.9243 0.0000 0.0000
-3.4621 5.9966 0.0000
0.0000 0.0000 3.7765
ATOMIC_POSITIONS angstrom
La -2.2474 4.0684 0.0000
La 1.0625 2.0161 0.0000
La 1.1849 5.9087 0.0000
P 0.0000 3.9977 1.8883
S 0.0000 0.0000 1.8883
```

Values from the calculation:
Total moment = 0.39 μB per cell
Formation energy without anion corrections = -116.5 kJ/mol of atoms
Energy above the most stable polymorph in this dataset = 0.00 eV per formula unit
Final energy = -0.22311 hartree per atom
DOS at the Fermi energy = 1.0923 states/eV per atom